# 1
AcEuGeRh | Alexandria | GGA-PBE | optimized geometry; space-group type = F-43m, No. 216; calculated density = 8.9 g/cm3
1.0
-1.285 -4.301 2.757
3.598 -3.751 0.859
1.960 -0.711 4.838
Eu Ac Rh Ge
1 1 1 1
direct
0.000 0.000 0.000
0.500 0.500 0.500
0.750 0.750 0.750
0.250 0.250 0.250

---

# 2
NaAl2TcMo | Alexandria | GGA-PBE | optimized geometry; offset from the most stable computed form = 0 meV per atom; space-group type = P4/mmm, No. 123; calculated density = 4.0 g/cm3
1.0
-2.446 1.990 3.720
1.011 -3.803 2.700
4.090 2.172 1.527
Na Mo Tc Al
1 1 1 2
direct
0.500 0.500 0.500
0.000 0.500 0.000
0.000 0.000 0.000
0.000 0.000 0.500
0.500 0.000 0.000

---

Short version: energy relative to the elements = -0.4487; 0.5756 eV per atom, in the order given.